[1]
Entry from Alexandria via LeMat-Bulk: a relaxed Li4PrIn2Ag crystal (PBE-GGA).

It has space group R-3m (No. 166, hexagonal axes), with a = 4.8964 Å, b = 4.8964 Å, c = 23.7819 Å, α = 90.00°, β = 90.00° and γ = 120.00°. Symmetry generates all atoms from Li at (0.0000, 0.0000, 0.1072), Li at (0.0000, 0.0000, 0.3632), Pr at (0.0000, 0.0000, 0.5000), In at (0.0000, 0.0000, 0.2428) and Ag at (0.0000, 0.0000, 0.0000).

Its final energy is -2.817 eV per atom.

[2]
Entry from Alexandria via LeMat-Bulk: a relaxed Li2PrIn2Ag2 crystal (PBE-GGA).

It has space group R-3m (No. 166, hexagonal axes), with a = 4.7377 Å, b = 4.7377 Å, c = 23.7306 Å, α = 90.00°, β = 90.00° and γ = 120.00°. Symmetry generates all atoms from Li at (0.0000, 0.0000, 0.1411), Pr at (0.0000, 0.0000, 0.0000), In at (0.0000, 0.0000, 0.2598) and Ag at (0.0000, 0.0000, 0.4373).

Its final energy is -3.088 eV per atom.

[3]
Entry from Alexandria via LeMat-Bulk: a relaxed Li2PrIn4Ag crystal (PBE-GGA).

It has space group R-3m (No. 166, hexagonal axes), with a = 4.7395 Å, b = 4.7395 Å, c = 28.2480 Å, α = 90.00°, β = 90.00° and γ = 120.00°. Symmetry generates all atoms from Li at (0.0000, 0.0000, 0.2355), Pr at (0.0000, 0.0000, 0.0000), In at (0.0000, 0.0000, 0.1224), In at (0.0000, 0.0000, 0.3965) and Ag at (0.0000, 0.0000, 0.5000).

Its final energy is -3.090 eV per atom.

[4]
Entry from Alexandria via LeMat-Bulk: a relaxed LiPrInAg crystal (PBE-GGA).

It has space group F-43m (No. 216), with a = 7.089 Å, b = 7.089 Å, c = 7.089 Å, α = 90.00°, β = 90.00° and γ = 90.00°. Symmetry generates all atoms from Li at (0.000, 0.000, 0.000), Pr at (0.250, 0.250, 0.750), In at (0.250, 0.250, 0.250) and Ag at (0.000, 0.000, 0.500).

Its final energy is -3.454 eV per atom.

[5]
Entry from Alexandria via LeMat-Bulk: a relaxed Li2PuIn4Ag crystal (PBE-GGA).

It has space group R-3m (No. 166, hexagonal axes), with a = 4.7900 Å, b = 4.7900 Å, c = 27.0964 Å, α = 90.00°, β = 90.00° and γ = 120.00°. Symmetry generates all atoms from Li at (0.0000, 0.0000, 0.2403), Pu at (0.0000, 0.0000, 0.0000), In at (0.0000, 0.0000, 0.1229), In at (0.0000, 0.0000, 0.3910) and Ag at (0.0000, 0.0000, 0.5000).

Its final energy is -4.137 eV per atom.

[6]
Entry from Alexandria via LeMat-Bulk: a relaxed RbLi2InAg crystal (PBE-GGA).

It has space group P4/mmm (No. 123), with a = 5.241 Å, b = 5.241 Å, c = 6.393 Å, α = 90.00°, β = 90.00° and γ = 90.00°. Symmetry generates all atoms from Rb at (0.000, 0.000, 0.000), Li at (0.000, 0.500, 0.500), In at (0.500, 0.500, 0.000) and Ag at (0.000, 0.000, 0.500).

The energy above the lowest structure with this stoichiometry is 1.18 eV/f.u. Its final energy is -1.826 eV per atom.

[7]
Entry from Alexandria via LeMat-Bulk: a relaxed RbLiIn2Ag crystal (PBE-GGA).

It has space group P4/mmm (No. 123), with a = 5.398 Å, b = 5.398 Å, c = 5.467 Å, α = 90.00°, β = 90.00° and γ = 90.00°. Symmetry generates all atoms from Rb at (0.000, 0.000, 0.000), Li at (0.500, 0.500, 0.000), In at (0.000, 0.500, 0.500) and Ag at (0.500, 0.500, 0.500).

Its final energy is -2.209 eV per atom.

[8]
Entry from Alexandria via LeMat-Bulk: a relaxed RbLi2InAg crystal (PBE-GGA).

It has space group P4/mmm (No. 123), with a = 5.382 Å, b = 5.382 Å, c = 5.301 Å, α = 90.00°, β = 90.00° and γ = 90.00°. Symmetry generates all atoms from Rb at (0.000, 0.000, 0.000), Li at (0.000, 0.500, 0.500), In at (0.500, 0.500, 0.000) and Ag at (0.500, 0.500, 0.500).

The energy above the lowest structure with this stoichiometry is 0.00 eV/f.u. Its final energy is -2.063 eV per atom.

We obtain calculated formation energy values of -1.78; -1.83; -2.30; -1.53; -1.13; 1.25; 0.17; 0.07 eV per formula unit for the records listed above, in that order.
We obtain M_tot values of 0.00; 0.00; 0.00; 0.00; 5.73; 0.00; 0.00; 0.00 μB/f.u. for the records listed above, in that order.